No. 1
# YThZrN3 | the Alexandria database | GGA-PBE | relaxed
# Formation energy from raw total energies = -9.415 eV/f.u.
# Crystal system = monoclinic
data_YThZrN3
_symmetry_space_group_name_H-M 'P 1 21/m 1'
_symmetry_Int_Tables_number 11
_cell_length_a 5.9424
_cell_length_b 3.4598
_cell_length_c 8.9413
_cell_angle_alpha 90.00
_cell_angle_beta 102.73
_cell_angle_gamma 90.00
loop_
_symmetry_equiv_pos_as_xyz
'x,y,z'
'-x,-y,-z'
'-x,y+1/2,-z'
'x,-y+1/2,z'
loop_
_atom_site_label
_atom_site_fract_x
_atom_site_fract_y
_atom_site_fract_z
Y1 0.2310 0.2500 0.4523
Th1 0.3506 0.7500 0.8102
Zr1 0.1333 0.7500 0.1369
N1 0.0501 0.2500 0.6681
N2 0.2524 0.2500 0.0085
N3 0.4443 0.7500 0.3251


No. 2
# Ba12Ir3N5 | the Alexandria database | GGA-PBE | relaxed
# Formation energy from raw total energies = -3.897 eV/f.u.
# Crystal system = cubic
data_Ba12Ir3N5
_symmetry_space_group_name_H-M 'I a -3 d'
_symmetry_Int_Tables_number 230
_symmetry_space_group_name_Hall '-I 4bd 2c 3'
_cell_length_a 17.1935
_cell_length_b 17.1935
_cell_length_c 17.1935
_cell_angle_alpha 90.00
_cell_angle_beta 90.00
_cell_angle_gamma 90.00
loop_
_atom_site_label
_atom_site_fract_x
_atom_site_fract_y
_atom_site_fract_z
Ba1 0.0253 0.0562 0.6533
Ir1 0.0000 0.2500 0.1250
N1 0.0000 0.0000 0.0000
N2 0.0000 0.2500 0.3750


No. 3
# Mg2Tl | the Alexandria database | GGA-PBE | relaxed
# Energy of formation from the pure elements = -0.01 eV per atom
# Crystal system = monoclinic
data_Mg2Tl
_symmetry_space_group_name_H-M 'C 1 m 1'
_symmetry_Int_Tables_number 8
_cell_length_a 11.6212
_cell_length_b 3.5873
_cell_length_c 7.2067
_cell_angle_alpha 90.00
_cell_angle_beta 102.12
_cell_angle_gamma 90.00
loop_
_symmetry_equiv_pos_as_xyz
'x,y,z'
'x,-y,z'
'x+1/2,y+1/2,z'
'x+1/2,-y+1/2,z'
loop_
_atom_site_label
_atom_site_fract_x
_atom_site_fract_y
_atom_site_fract_z
Mg1 0.0000 0.0000 0.0000
Mg2 0.0534 0.0000 0.5852
Mg3 0.2128 0.5000 0.9133
Mg4 0.3689 0.0000 0.2540
Tl1 0.1539 0.5000 0.3125
Tl2 0.3475 0.0000 0.6754


No. 4
# CrCo3 | the Alexandria database | GGA-PBE | relaxed
# Energy of formation from the pure elements = 0.22 eV per atom
# Crystal system = cubic
data_CrCo3
_symmetry_space_group_name_H-M 'F m -3 m'
_symmetry_Int_Tables_number 225
_symmetry_space_group_name_Hall '-F 4 2 3'
_cell_length_a 5.6254
_cell_length_b 5.6254
_cell_length_c 5.6254
_cell_angle_alpha 90.00
_cell_angle_beta 90.00
_cell_angle_gamma 90.00
loop_
_atom_site_label
_atom_site_fract_x
_atom_site_fract_y
_atom_site_fract_z
Cr1 0.0000 0.0000 0.0000
Co1 0.0000 0.0000 0.5000
Co2 0.2500 0.2500 0.2500


| no. | E (eV for the cell shown) | volume (Å³/cell) |
| --- | --- | --- |
| 1 | -113.6 | 179.3 |
| 2 | -761.4 | 5082.7 |
| 3 | -22.4 | 293.7 |
| 4 | -120.3 | 178.0 |